1.
{"formula": "NdSi7Os3", "functional": "PBE", "state": "optimized geometry", "n_ef_per_ev_cell": 10.60, "magmom_total_mub_per_cell": 0.00, "raw_formation_energy_ev_per_atom": -0.426, "dft_energy_ev_per_atom": -7.373, "density_g_cm3": 8.8, "cell": [[3.8452, 2.2200, 6.7429], [-3.8452, 2.2200, 6.7429], [0.0000, -4.4401, 6.7429]], "species": ["Nd", "Nd", "Si", "Si", "Si", "Si", "Si", "Si", "Si", "Si", "Si", "Si", "Si", "Si", "Si", "Si", "Os", "Os", "Os", "Os", "Os", "Os"], "fractional_positions": [[0.0000, 0.0000, 0.0000], [0.5000, 0.5000, 0.5000], [0.0604, 0.8533, 0.6696], [0.1467, 0.3304, 0.9396], [0.1696, 0.3533, 0.5604], [0.2500, 0.2500, 0.2500], [0.3304, 0.9396, 0.1467], [0.3533, 0.5604, 0.1696], [0.4396, 0.8304, 0.6467], [0.5604, 0.1696, 0.3533], [0.6467, 0.4396, 0.8304], [0.6696, 0.0604, 0.8533], [0.7500, 0.7500, 0.7500], [0.8304, 0.6467, 0.4396], [0.8533, 0.6696, 0.0604], [0.9396, 0.1467, 0.3304], [0.0778, 0.7500, 0.4222], [0.2500, 0.5778, 0.9222], [0.4222, 0.0778, 0.7500], [0.5778, 0.9222, 0.2500], [0.7500, 0.4222, 0.0778], [0.9222, 0.2500, 0.5778]]}

2.
{"formula": "NdVSi2Os", "functional": "PBE", "state": "optimized geometry", "n_ef_per_ev_cell": 3.49, "magmom_total_mub_per_cell": 0.70, "raw_formation_energy_ev_per_atom": -0.623, "dft_energy_ev_per_atom": -7.816, "density_g_cm3": 8.4, "cell": [[-2.0219, 2.0219, 5.3340], [2.0219, -2.0219, 5.3340], [2.0219, 2.0219, -5.3340]], "species": ["Nd", "V", "Si", "Si", "Os"], "fractional_positions": [[0.0000, 0.0000, 0.0000], [0.7500, 0.2500, 0.5000], [0.3807, 0.3807, 0.0000], [0.6193, 0.6193, 0.0000], [0.2500, 0.7500, 0.5000]]}

3.
{"formula": "Nd2SmOs", "functional": "PBE", "state": "optimized geometry", "n_ef_per_ev_cell": 5.71, "polymorph_energy_mev_per_atom": 501.0, "magmom_total_mub_per_cell": 0.00, "delta_e_f_mev_per_atom": 384, "dft_energy_ev_per_atom": -5.987, "density_g_cm3": 8.3, "cell": [[1.8160, 1.0484, 11.0345], [-1.8160, 1.0484, 11.0345], [0.0000, -2.0969, 11.0345]], "species": ["Nd", "Nd", "Sm", "Os"], "fractional_positions": [[0.1076, 0.1076, 0.1076], [0.8924, 0.8924, 0.8924], [0.0000, 0.0000, 0.0000], [0.5000, 0.5000, 0.5000]]}

4.
{"formula": "NdSmOs4", "functional": "PBE", "state": "optimized geometry", "n_ef_per_ev_cell": 6.46, "magmom_total_mub_per_cell": 0.00, "delta_e_f_mev_per_atom": -114, "dft_energy_ev_per_atom": -9.182, "density_g_cm3": 15.5, "cell": [[0.0000, 3.8378, 3.8378], [3.8378, 0.0000, 3.8378], [3.8378, 3.8378, 0.0000]], "species": ["Nd", "Sm", "Os", "Os", "Os", "Os"], "fractional_positions": [[0.0000, 0.0000, 0.0000], [0.2500, 0.2500, 0.2500], [0.1253, 0.6249, 0.6249], [0.6249, 0.1253, 0.6249], [0.6249, 0.6249, 0.1253], [0.6249, 0.6249, 0.6249]]}